# 1
## Nd3HfP4 (GGA-PBE)

Data for Nd3HfP4 after structural relaxation.

It has space group Cmmm (No. 65), with a = 8.111 Å, b = 11.407 Å, c = 4.031 Å, α = 90.00°, β = 90.00° and γ = 90.00°. The asymmetric unit holds Nd at (0.000, 0.000, 0.000), Nd at (0.250, 0.250, 0.500), Hf at (0.000, 0.500, 0.000), P at (0.000, 0.262, 0.000) and P at (0.229, 0.500, 0.500).

Its formation enthalpy at 0 K is -1.446 eV/atom. The value obtained for the raw total energy is -114.9 eV per cell. Its size of the total moment is 0.0 μB per cell.

# 2
## Nd2HfPaP4 (GGA-PBE)

Data for Nd2HfPaP4 after structural relaxation.

It has space group P2/m (No. 10), with a = 6.855 Å, b = 3.982 Å, c = 6.971 Å, α = 90.00°, β = 109.13° and γ = 90.00°. The asymmetric unit holds Nd at (0.000, 0.000, 0.000), Nd at (0.500, 0.500, 0.000), Hf at (0.000, 0.500, 0.500), Pa at (0.500, 0.000, 0.500), P at (0.235, 0.000, 0.723) and P at (0.248, 0.500, 0.271).

Its formation enthalpy at 0 K is -1.408 eV/atom. The value obtained for the raw total energy is -61.9 eV per cell. Its size of the total moment is 0.0 μB per cell.